Record 1
A plane-wave DFT calculation with GGA-PBE was carried out for an optimized crystal structure of SrMn2As.

Space-group type ... No. 166
Raw total energy ... -0.453 Ry/atom
Magnetic moment ... 5.88 μB/f.u.
Energy of formation ... 0.02 eV per formula unit
Crystal system ... trigonal

Lattice parameters (Å, degrees): 6.153 6.153 6.153 39.81 39.81 39.81
Each line ends with the local moment (μB).
Positions (direct):
As1 0.750 0.750 0.750  -0.05
Mn1 0.054 0.054 0.054  2.67
Mn2 0.446 0.446 0.446  2.67
Sr1 0.250 0.250 0.250  0.04

---

Record 2
A plane-wave DFT calculation with GGA-PBE was carried out for an optimized crystal structure of SrMnAs3.

Space-group type ... No. 221
Raw total energy ... -0.385 Ry/atom
Magnetic moment ... 3.10 μB/f.u.
Energy of formation ... -1.38 eV per formula unit
Crystal system ... cubic
Offset from the most stable computed form ... 0.0 meV/atom

Lattice parameters (Å, degrees): 4.859 4.859 4.859 90.00 90.00 90.00
Each line ends with the local moment (μB).
Positions (direct):
Sr1 0.500 0.500 0.500  0.03
As1 0.000 0.500 0.000  0.00
As2 0.000 0.000 0.500  0.00
As3 0.500 0.000 0.000  -0.05
Mn1 0.000 0.000 0.000  2.93

---

Record 3
A plane-wave DFT calculation with GGA-PBE was carried out for an optimized crystal structure of SrMnAs2.

Space-group type ... No. 47
Raw total energy ... -0.404 Ry/atom
Magnetic moment ... 3.89 μB/f.u.
Energy of formation ... -1.86 eV per formula unit
Crystal system ... orthorhombic

Lattice parameters (Å, degrees): 3.970 4.444 5.838 89.98 90.00 90.00
Each line ends with the local moment (μB).
Positions (direct):
As1 0.000 0.250 0.994  -0.04
As2 0.000 0.250 0.506  -0.04
Mn1 0.500 0.250 0.250  3.64
Sr1 0.500 0.750 0.750  0.01

---

Record 4
A plane-wave DFT calculation with GGA-PBE was carried out for an optimized crystal structure of SrMnAs2.

Space-group type ... No. 123
Raw total energy ... -0.389 Ry/atom
Magnetic moment ... 3.94 μB/f.u.
Energy of formation ... -1.00 eV per formula unit
Crystal system ... tetragonal

Lattice parameters (Å, degrees): 3.617 3.617 6.703 90.00 90.00 90.00
Each line ends with the local moment (μB).
Positions (direct):
As1 0.000 0.000 0.056  -0.06
As2 0.000 0.000 0.444  -0.06
Mn1 0.500 0.500 0.250  3.88
Sr1 0.500 0.500 0.750  0.01